1.
An optimized crystal structure of K2NpCdTe4. Source: the Alexandria database, functional GGA-PBE.

Properties
**Density of states at the Fermi level**: 10.8 states/eV per cell
**Energy relative to the elements, uncorrected**: -5.2 eV/f.u.
**Total magnetization**: 2.99 μB/f.u.

a = 7.193 Å, b = 7.193 Å, c = 7.193 Å
α = 106.48°, β = 106.48°, γ = 115.63°
Atoms (fractional coordinates):
1 K 0.000 0.500 0.500
2 K 0.500 0.000 0.500
3 Np 0.000 0.000 0.000
4 Cd 0.500 0.500 0.000
5 Te 0.076 0.076 0.634
6 Te 0.443 0.443 0.366
7 Te 0.557 0.924 0.000
8 Te 0.924 0.557 0.000

=====

2.
An optimized crystal structure of KSb2Pd. Source: the Alexandria database, functional GGA-PBE.

Properties
**Density of states at the Fermi level**: 8.4 states/eV per cell
**Energy relative to the elements, uncorrected**: -0.6 eV/f.u.
**Offset from the most stable computed form**: 0.2541 eV per atom
**Total magnetization**: 0.00 μB/f.u.

a = 9.824 Å, b = 9.824 Å, c = 9.824 Å
α = 147.30°, β = 147.30°, γ = 46.92°
Atoms (fractional coordinates):
1 K 0.000 0.000 0.000
2 K 0.750 0.250 0.500
3 Sb 0.284 0.625 0.159
4 Sb 0.375 0.534 0.659
5 Sb 0.466 0.125 0.841
6 Sb 0.875 0.716 0.341
7 Pd 0.250 0.750 0.500
8 Pd 0.500 0.500 0.000

=====

Question: What is the total magnetization in the second record?
Answer: 0.00 μB/f.u.